No. 1
Pr2Nd6Er, relaxed, DFT GGA-PBE; calculated volume = 34.750 Å³/atom; ΔH_f (0 K) = 0.080 eV per atom; E above lowest polymorph = 0.027 eV per atom
1.0
6.274 -0.117 -0.113
1.180 10.130 1.497
1.180 1.825 10.076
Nd Pr Er
12 4 2
Cartesian
4.286 4.173 6.368
4.084 10.519 7.948
7.485 5.279 7.439
1.149 6.558 4.021
2.572 10.301 3.990
2.925 7.574 1.350
5.709 4.263 10.110
4.550 1.318 3.512
7.221 8.226 10.199
4.348 7.664 5.092
1.413 3.612 1.260
6.062 1.536 7.470
4.399 4.748 2.888
4.235 7.089 8.572
1.262 3.099 4.709
7.372 8.739 6.751
2.748 2.627 9.188
5.885 9.210 2.272

No. 2
Zr2BiSBr, relaxed, DFT GGA-PBE; ΔE_f (raw) = 0.81 eV/atom; calculated volume = 33.430 Å³/atom
1.0
-1.724 3.217 4.297
-4.807 0.251 -2.117
-1.500 -4.622 2.858
Zr S Br Bi
2 1 1 1
Cartesian
-0.862 1.608 2.149
-0.750 -2.311 1.429
-2.403 0.125 -1.058
-4.016 -0.577 2.519
0.000 0.000 0.000

No. 3
Li5BiPb6, relaxed, DFT GGA-PBE; calculated volume = 24.875 Å³/atom; ΔH_f (0 K) = -0.195 eV per atom
1.0
-2.525 4.251 1.546
-4.347 -4.193 4.430
8.333 1.060 2.849
Bi Pb Li
1 6 5
Cartesian
0.000 0.000 0.000
0.518 -0.696 3.254
-4.388 -0.889 3.958
0.942 1.814 5.571
2.952 3.753 3.521
-1.492 -2.636 5.303
5.848 2.007 4.867
1.290 -1.413 6.255
3.248 0.657 3.810
-2.174 -2.097 2.215
-1.788 0.461 5.015
0.171 2.530 2.570

No. 4
Ba2TmAgAu6, relaxed, DFT GGA-PBE; calculated volume = 28.516 Å³/atom; ΔH_f (0 K) = -0.490 eV per atom
1.0
7.438 -0.484 0.844
-0.643 7.096 -0.764
4.107 2.865 5.594
Au Ag Tm Ba
6 1 1 2
Cartesian
7.248 6.117 2.821
1.263 5.144 -0.050
9.638 4.332 5.725
5.078 5.219 4.602
3.654 3.359 2.854
5.823 4.258 1.073
0.000 0.000 0.000
3.397 3.306 0.040
7.580 2.533 3.537
3.322 6.944 2.139

No. 5
La2Co2Te, relaxed, DFT GGA-PBE; ΔE_f (raw) = -0.47 eV/atom; calculated volume = 22.466 Å³/atom
1.0
7.450 0.000 0.000
0.000 7.450 0.000
0.000 0.000 4.048
Co La Te
4 4 2
Cartesian
6.652 4.523 0.000
0.798 2.927 0.000
2.927 6.652 0.000
4.523 0.798 0.000
5.088 6.087 2.024
1.363 5.088 2.024
6.087 2.362 2.024
2.362 1.363 2.024
3.725 3.725 0.000
0.000 0.000 0.000

No. 6
SiGeAuS, relaxed, DFT GGA-PBE; ΔE_f (raw) = -0.02 eV/atom; calculated volume = 21.618 Å³/atom; E above lowest polymorph = 0.058 eV per atom
1.0
5.716 0.000 0.075
0.000 4.298 0.000
0.017 0.000 7.039
Si Ge Au S
2 2 2 2
Cartesian
3.368 0.000 1.440
3.376 2.149 4.959
5.384 0.000 3.577
5.393 2.149 7.096
4.050 2.149 2.541
4.058 0.000 6.061
1.257 0.000 1.318
1.266 2.149 4.838

No. 7
KNaTe, relaxed, DFT GGA-PBE; ΔE_f (raw) = -0.90 eV/atom; calculated volume = 38.191 Å³/atom
1.0
4.958 0.000 0.000
0.000 5.166 0.000
0.000 -2.583 4.474
Te Na K
1 1 1
Cartesian
0.822 0.000 0.000
0.829 0.000 2.982
3.308 2.583 1.491

No. 8
CeHfCo10, relaxed, DFT GGA-PBE; calculated volume = 13.301 Å³/atom; ΔH_f (0 K) = -0.119 eV per atom
1.0
3.979 0.000 0.000
0.000 4.808 0.000
0.000 0.000 8.343
Co Ce Hf
10 1 1
Cartesian
0.000 0.000 5.552
1.989 2.404 0.000
1.989 3.555 2.188
1.989 1.254 6.155
0.000 2.404 1.426
1.989 1.254 2.188
0.000 2.404 6.917
0.000 0.000 2.792
1.989 3.555 6.155
1.989 0.000 4.172
0.000 0.000 0.000
0.000 2.404 4.172

No. 9
KThAs2, relaxed, DFT GGA-PBE; calculated volume = 32.730 Å³/atom; ΔH_f (0 K) = -0.784 eV per atom; E above lowest polymorph = 0.000 eV per atom
1.0
4.426 0.000 0.000
2.213 3.833 0.000
2.213 1.278 7.717
As Th K
2 1 1
Cartesian
2.213 1.278 1.522
6.639 3.833 6.195
0.000 0.000 0.000
4.426 2.555 3.858